# La2PrSm5Sc

A relaxed La2PrSm5Sc crystal (PBE, the Alexandria database).

## Properties
The calculation puts the formation energy at 0.12 eV/atom. The density of states at the Fermi level comes out at 1.6777 states/eV per atom. Its crystal system is orthorhombic.

abc: 5.494 11.342 10.213
angles: 90.00 90.00 104.02
Atoms (fractional coordinates):
Sm: 0.277 0.554 0.320
Pr: 0.602 0.204 0.008
Sc: 0.784 0.568 0.508
Sm: 0.723 0.446 0.820
Sm: 0.999 0.999 0.008
Pr: 0.398 0.796 0.508
Sm: 0.277 0.554 0.696
Sc: 0.216 0.432 0.008
Sm: 0.374 0.748 0.008
Sm: 0.723 0.446 0.196
La: 0.118 0.236 0.269
Sm: 0.001 0.001 0.508
La: 0.882 0.764 0.769
Sm: 0.500 0.000 0.258
Sm: 0.500 0.000 0.758
La: 0.118 0.236 0.748
La: 0.882 0.764 0.248
Sm: 0.626 0.252 0.508